The following is a meta-GGA SCAN calculation of a PBEsol-optimized structure of TlCd2Te, from Alexandria via LeMat-Bulk.

Cell: 3.8221 5.0954 10.5572 Å, 90.00 90.00 90.00°
Space group Cmmm (No. 65)
Asymmetric unit:
Tl 0.0000 0.0000 0.0000 (multiplicity 2)
Cd 0.0000 0.5000 0.2488 (multiplicity 4)
Te 0.0000 0.0000 0.5000 (multiplicity 2)

Computed properties:
M_tot   0.0 μB per formula unit
Formation energy (no corrections)   104 meV per atom
E above lowest polymorph   0.1455 eV per atom
VASP energy   -42.51 eV per atom

***

The following is a meta-GGA SCAN calculation of a PBEsol-optimized structure of Tl4CdTe, from Alexandria via LeMat-Bulk.

Cell: 8.9557 8.9557 8.9557 Å, 90.00 90.00 90.00°
Space group F-43m (No. 216)
Asymmetric unit:
Tl 0.1247 0.1247 0.1247 (multiplicity 16)
Cd 0.0000 0.0000 0.5000 (multiplicity 4)
Te 0.2500 0.2500 0.7500 (multiplicity 4)

Computed properties:
M_tot   0.0 μB per formula unit
Formation energy (no corrections)   126 meV per atom
VASP energy   -59.39 eV per atom

***

The following is a meta-GGA SCAN calculation of a PBEsol-optimized structure of TlCd2Te, from Alexandria via LeMat-Bulk.

Cell: 4.0726 4.3986 11.7780 Å, 90.00 90.00 90.00°
Space group Imm2 (No. 44)
Asymmetric unit:
Tl 0.0000 0.0000 0.0000 (multiplicity 2)
Cd 0.0000 0.0000 0.5414 (multiplicity 2)
Cd 0.0000 0.5000 0.8029 (multiplicity 2)
Te 0.0000 0.5000 0.2443 (multiplicity 2)

Computed properties:
M_tot   0.0 μB per formula unit
Formation energy (no corrections)   -41 meV per atom
E above lowest polymorph   0.0000 eV per atom
VASP energy   -42.65 eV per atom